Computed, not measured: a relaxed KNiMoO4 crystal at the PBE+U level of DFT.

The space group is P2_1/m (No. 11) and the conventional cell measures 6.1469, 6.6946 and 6.3094 Å, with angles of 90.00, 95.67 and 90.00 degrees. The asymmetric unit holds K at (0.1339, 0.2500, 0.0850), Ni at (0.1717, 0.2500, 0.6186), Mo at (0.2860, 0.7500, 0.5704), O at (0.1491, 0.7500, 0.3029), O at (0.2061, 0.5366, 0.7206) and O at (0.4201, 0.2500, 0.4360).

For the raw total energy, the calculation gives -0.213 hartree per atom. The value obtained for the total magnetization is 0.143 μB per atom.